## YZn2AsO (GGA-PBE)

Data for crystalline YZn2AsO at its relaxed geometry.

abc: 4.9895 4.9895 3.9764
angles: 90.00 90.00 90.00
Last column: nearest neighbours and their distance in Å.
Sites, in units of the cell vectors:
1 Y 0.0000 0.0000 0.0000  8 Zn 3.19, 4 O 3.53
2 Zn 0.0000 0.5000 0.5000  2 As 2.49
3 Zn 0.5000 0.0000 0.5000  2 As 2.49
4 As 0.5000 0.5000 0.5000  2 O 1.99
5 O 0.5000 0.5000 0.0000  2 As 1.99

Output
The total energy comes out at -3.797 eV per atom. The calculation puts the calculated volume at 19.8 Å³/atom. The uncorrected formation energy comes out at -0.07 eV per atom. As for the density: 5.211 g/cm³.